[1]
The following is a DFT calculation (PBE) of a relaxed Fe2SnHg crystal.

Lattice parameters (Å, degrees): 4.529 4.529 4.529 60.00 60.00 60.00
Positions (direct):
1 Sn 0.000 0.000 0.000
2 Fe 0.750 0.750 0.750
3 Fe 0.250 0.250 0.250
4 Hg 0.500 0.500 0.500

- space group = Fm-3m (225)
- magnetization (μB/f.u.) = 4.54
- formation enthalpy at 0 K (eV/atom) = 0.425
- offset from the most stable computed form (eV per formula unit) = 0.00
- calculated volume (A^3/atom) = 16.42



[2]
The following is a DFT calculation (PBE) of a relaxed VFe2SnHg crystal.

Lattice parameters (Å, degrees): 4.746 4.917 4.746 90.00 90.00 90.00
Positions (direct):
1 Hg 0.500 0.500 0.500
2 Fe 0.000 0.000 0.500
3 Fe 0.500 0.000 0.000
4 V 0.000 0.500 0.000
5 Sn 0.000 0.000 0.000

- space group = P4/mmm (123)
- magnetization (μB/f.u.) = 7.52
- formation enthalpy at 0 K (eV/atom) = 1.355
- calculated volume (A^3/atom) = 22.15



[3]
The following is a DFT calculation (PBE) of a relaxed Y2FeSnHg crystal.

Lattice parameters (Å, degrees): 5.622 5.622 5.244 90.00 90.00 90.00
Positions (direct):
1 Fe 0.500 0.500 0.500
2 Sn 0.000 0.000 0.500
3 Y 0.500 0.000 0.000
4 Y 0.000 0.500 0.000
5 Hg 0.000 0.000 0.000

- space group = P4/mmm (123)
- magnetization (μB/f.u.) = 2.73
- formation enthalpy at 0 K (eV/atom) = 0.828
- calculated volume (A^3/atom) = 33.15



[4]
The following is a DFT calculation (PBE) of a relaxed ZnFeSn2Hg crystal.

Lattice parameters (Å, degrees): 4.900 4.900 4.850 90.00 90.00 90.00
Positions (direct):
1 Fe 0.000 0.000 0.000
2 Zn 0.000 0.000 0.500
3 Sn 0.500 0.000 0.000
4 Sn 0.000 0.500 0.000
5 Hg 0.500 0.500 0.500

- space group = P4/mmm (123)
- magnetization (μB/f.u.) = 0.00
- formation enthalpy at 0 K (eV/atom) = 0.131
- calculated volume (A^3/atom) = 23.29



[5]
The following is a DFT calculation (PBE) of a relaxed Sr2FeHg crystal.

Lattice parameters (Å, degrees): 3.752 3.752 8.848 90.00 90.00 90.00
Positions (direct):
1 Fe 0.000 0.000 0.563
2 Sr 0.000 0.000 0.927
3 Sr 0.500 0.500 0.323
4 Hg 0.500 0.500 0.686

- space group = P4mm (99)
- magnetization (μB/f.u.) = 2.73
- formation enthalpy at 0 K (eV/atom) = 0.227
- offset from the most stable computed form (eV per formula unit) = 0.52
- calculated volume (A^3/atom) = 31.14



[6]
The following is a DFT calculation (PBE) of a relaxed Sr2FeHg crystal.

Lattice parameters (Å, degrees): 4.596 4.690 6.358 68.37 90.00 90.00
Positions (direct):
1 Hg 0.500 0.567 0.741
2 Sr 0.000 0.982 0.911
3 Sr 0.500 0.271 0.333
4 Fe 0.000 0.680 0.515

- space group = Amm2 (38)
- magnetization (μB/f.u.) = 2.07
- formation enthalpy at 0 K (eV/atom) = 0.099
- offset from the most stable computed form (eV per formula unit) = 0.01
- calculated volume (A^3/atom) = 31.85



[7]
The following is a DFT calculation (PBE) of a relaxed Sr2FeHg2 crystal.

Lattice parameters (Å, degrees): 7.550 7.550 5.107 90.00 90.00 90.00
Positions (direct):
1 Sr 0.675 0.825 0.500
2 Sr 0.175 0.675 0.500
3 Sr 0.825 0.325 0.500
4 Sr 0.325 0.175 0.500
5 Hg 0.357 0.857 0.000
6 Hg 0.143 0.357 0.000
7 Hg 0.643 0.143 0.000
8 Hg 0.857 0.643 0.000
9 Fe 0.000 0.000 0.000
10 Fe 0.500 0.500 0.000

- space group = P4/mbm (127)
- magnetization (μB/f.u.) = 2.49
- formation enthalpy at 0 K (eV/atom) = 0.038
- offset from the most stable computed form (eV per formula unit) = 0.00
- calculated volume (A^3/atom) = 29.11



[8]
The following is a DFT calculation (PBE) of a relaxed SrFeHg3 crystal.

Lattice parameters (Å, degrees): 5.123 5.123 5.123 90.00 90.00 90.00
Positions (direct):
1 Sr 0.500 0.500 0.500
2 Fe 0.000 0.000 0.000
3 Hg 0.000 0.500 0.000
4 Hg 0.000 0.000 0.500
5 Hg 0.500 0.000 0.000

- space group = Pm-3m (221)
- magnetization (μB/f.u.) = 1.86
- formation enthalpy at 0 K (eV/atom) = -0.019
- offset from the most stable computed form (eV per formula unit) = 0.00
- calculated volume (A^3/atom) = 26.89



no.,DOS at the Fermi energy (states/eV/cell)
1,3.70
2,9.44
3,10.80
4,1.60
5,6.94
6,5.74
7,11.39
8,4.47